Entry from Alexandria via LeMat-Bulk: CaCrBi2 after structural relaxation (PBE-GGA).

Cell and atoms, written as extended XYZ:
```
8
Lattice="8.310 0.000 0.000 0.000 8.310 0.000 4.155 4.155 3.330" Properties=species:S:1:pos:R:3 pbc="T T T"
Bi 6.560 2.077 0.832
Cr 8.310 4.155 1.665
Cr 0.000 0.000 0.000
Ca 4.155 4.155 0.000
Bi 10.387 10.714 2.497
Bi 6.232 5.905 2.497
Ca 4.155 8.310 1.665
Bi 1.750 6.232 0.832
```

Properties
**Formation energy from the elements**: -4 kJ/mol of atoms
**SG**: No. 122
**Spin magnetization**: 0.965 μB/atom
**D(E_F)**: 0.564 states/eV per atom
**E**: -39.071 eV per cell

=====

Entry from Alexandria via LeMat-Bulk: CaCrBi after structural relaxation (PBE-GGA).

Cell and atoms, written as extended XYZ:
```
12
Lattice="4.684 0.000 0.000 0.000 4.534 0.000 -2.025 0.000 15.886" Properties=species:S:1:pos:R:3 pbc="T T T"
Ca 2.019 0.000 15.829
Bi 3.066 0.000 10.705
Ca 3.031 2.267 7.886
Ca 2.972 0.000 4.737
Cr 0.691 3.154 9.756
Bi 0.676 0.000 7.144
Cr 1.704 3.646 1.814
Cr 0.691 1.380 9.756
Bi 4.078 2.267 2.762
Ca 1.960 2.267 12.680
Cr 1.704 0.887 1.814
Bi -0.337 2.267 15.087
```

Properties
**Formation energy from the elements**: 4 kJ/mol of atoms
**SG**: No. 8
**Spin magnetization**: 0.000 μB/atom
**D(E_F)**: 0.318 states/eV per atom
**E**: -61.474 eV per cell

=====

Entry from Alexandria via LeMat-Bulk: CaCrBi after structural relaxation (PBE-GGA).

Cell and atoms, written as extended XYZ:
```
12
Lattice="6.630 0.000 0.000 0.000 4.813 0.000 -0.740 0.000 10.466" Properties=species:S:1:pos:R:3 pbc="T T T"
Ca 1.195 2.406 3.855
Bi 1.734 0.000 1.748
Ca 0.825 0.000 9.088
Bi 4.156 0.000 8.718
Bi 4.526 2.406 3.485
Ca 5.065 0.000 1.378
Cr 3.371 0.000 4.454
Ca 4.695 2.406 6.611
Bi 1.364 2.406 6.981
Cr 3.001 2.406 9.687
Cr 2.889 2.406 0.779
Cr 2.519 0.000 6.012
```

Properties
**Formation energy from the elements**: -1 kJ/mol of atoms
**SG**: No. 12
**Spin magnetization**: 0.000 μB/atom
**D(E_F)**: 0.275 states/eV per atom
**E**: -62.109 eV per cell

=====

Entry from Alexandria via LeMat-Bulk: CaCrBi2 after structural relaxation (PBE-GGA).

Cell and atoms, written as extended XYZ:
```
4
Lattice="-1.900 -3.944 -2.676 -4.656 0.349 -2.128 -0.472 0.348 -5.098" Properties=species:S:1:pos:R:3 pbc="T T T"
Ca 0.000 0.000 0.000
Bi -5.271 -2.435 -7.426
Cr -3.514 -1.623 -4.951
Bi -1.757 -0.812 -2.475
```

Properties
**Formation energy from the elements**: 31 kJ/mol of atoms
**SG**: No. 225
**Spin magnetization**: 0.000 μB/atom
**D(E_F)**: 1.544 states/eV per atom
**E**: -18.090 eV per cell

=====

Entry from Alexandria via LeMat-Bulk: Ca2CrBi after structural relaxation (PBE-GGA).

Cell and atoms, written as extended XYZ:
```
8
Lattice="8.556 0.000 0.000 0.000 8.556 0.000 4.278 4.278 3.439" Properties=species:S:1:pos:R:3 pbc="T T T"
Bi 0.000 0.000 0.000
Ca 10.695 10.667 2.579
Bi 8.556 4.278 1.719
Cr 4.278 4.278 0.000
Cr 4.278 8.556 1.719
Ca 6.417 6.445 2.579
Ca 6.389 2.139 0.860
Ca 2.167 6.417 0.860
```

Properties
**Formation energy from the elements**: 22 kJ/mol of atoms
**SG**: No. 122
**Spin magnetization**: 1.220 μB/atom
**D(E_F)**: 0.553 states/eV per atom
**E**: -33.161 eV per cell

=====

Entry from Alexandria via LeMat-Bulk: CaCrBi after structural relaxation (PBE-GGA).

Cell and atoms, written as extended XYZ:
```
12
Lattice="8.302 0.000 0.410 0.000 4.778 0.000 -0.401 0.000 8.274" Properties=species:S:1:pos:R:3 pbc="T T T"
Ca 3.099 0.000 7.161
Bi 4.556 0.000 4.470
Bi 4.757 2.389 0.333
Ca 6.184 2.389 5.935
Cr 1.347 0.000 1.545
Bi -0.084 0.000 7.007
Cr 1.582 2.389 0.177
Cr 1.381 0.000 4.314
Bi 0.117 2.389 2.870
Cr 1.146 2.389 5.682
Ca 3.300 2.389 3.024
Ca 6.385 0.000 1.798
```

Properties
**Formation energy from the elements**: -14 kJ/mol of atoms
**SG**: No. 156
**Spin magnetization**: 0.033 μB/atom
**D(E_F)**: 0.486 states/eV per atom
**E**: -63.808 eV per cell

=====

Entry from Alexandria via LeMat-Bulk: CaCrBi after structural relaxation (PBE-GGA).

Cell and atoms, written as extended XYZ:
```
12
Lattice="-3.859 4.220 5.340 2.337 -2.165 3.400 9.365 2.058 -5.128" Properties=species:S:1:pos:R:3 pbc="T T T"
Bi 5.789 3.627 1.523
Cr 3.505 3.590 -0.124
Bi 2.055 0.487 2.090
Ca -2.671 3.577 4.113
Cr 2.001 2.689 0.336
Cr -0.009 1.478 4.140
Ca 8.177 2.701 -3.901
Bi -0.063 3.680 2.386
Bi 5.569 2.598 -2.174
Cr 7.853 2.636 -0.528
Ca 4.663 0.590 0.363
Ca 3.181 3.524 3.250
```

Properties
**Formation energy from the elements**: -2 kJ/mol of atoms
**SG**: No. 12
**Spin magnetization**: 0.000 μB/atom
**D(E_F)**: 0.481 states/eV per atom
**E**: -62.240 eV per cell

=====

Entry from Alexandria via LeMat-Bulk: CaCrBi after structural relaxation (PBE-GGA).

Cell and atoms, written as extended XYZ:
```
18
Lattice="4.784 0.000 0.000 -2.392 4.143 0.000 0.000 0.000 23.871" Properties=species:S:1:pos:R:3 pbc="T T T"
Ca 0.000 2.762 5.299
Ca 2.392 1.381 21.213
Cr 0.000 0.000 16.411
Bi 0.000 0.000 23.310
Bi 0.000 2.762 19.315
Cr 2.392 1.381 2.514
Cr 0.000 0.000 18.428
Bi 2.392 1.381 11.358
Cr 0.000 2.762 8.453
Ca 0.000 0.000 13.256
Ca 2.392 1.381 17.274
Bi 0.000 0.000 3.401
Ca 0.000 0.000 9.317
Ca 0.000 2.762 1.360
Bi 0.000 2.762 15.353
Cr 0.000 2.762 10.471
Cr 2.392 1.381 0.496
Bi 2.392 1.381 7.396
```

Properties
**Formation energy from the elements**: 8 kJ/mol of atoms
**SG**: No. 160
**Spin magnetization**: 0.603 μB/atom
**D(E_F)**: 0.612 states/eV per atom
**E**: -91.493 eV per cell

=====

Entry from Alexandria via LeMat-Bulk: CaCrBi after structural relaxation (PBE-GGA).

Cell and atoms, written as extended XYZ:
```
12
Lattice="6.742 0.000 0.217 0.000 4.997 0.000 -1.385 0.000 10.465" Properties=species:S:1:pos:R:3 pbc="T T T"
Cr 2.718 2.498 3.034
Bi -0.673 0.000 7.942
Cr 4.129 2.498 1.690
Bi 0.020 2.498 2.709
Ca 4.831 0.000 3.762
Ca 1.204 0.000 0.851
Cr 2.025 0.000 8.267
Ca 4.139 2.498 8.995
Ca 0.512 2.498 6.083
Bi 3.759 2.498 5.624
Cr 3.436 0.000 6.923
Bi 4.452 0.000 0.391
```

Properties
**Formation energy from the elements**: 0 kJ/mol of atoms
**SG**: No. 8
**Spin magnetization**: 0.003 μB/atom
**D(E_F)**: 0.116 states/eV per atom
**E**: -61.996 eV per cell

=====

Entry from Alexandria via LeMat-Bulk: Ca2CrGeBi after structural relaxation (PBE-GGA).

Cell and atoms, written as extended XYZ:
```
5
Lattice="5.626 0.000 0.000 0.000 4.702 0.000 0.000 0.000 5.626" Properties=species:S:1:pos:R:3 pbc="T T T"
Bi 2.813 2.351 2.813
Ge 0.000 2.351 0.000
Ca 0.000 0.000 2.813
Ca 2.813 0.000 0.000
Cr 0.000 0.000 0.000
```

Properties
**Formation energy from the elements**: 15 kJ/mol of atoms
**SG**: No. 123
**Spin magnetization**: 0.723 μB/atom
**D(E_F)**: 0.716 states/eV per atom
**E**: -21.354 eV per cell

=====

Entry from Alexandria via LeMat-Bulk: CaCr2BiIr after structural relaxation (PBE-GGA).

Cell and atoms, written as extended XYZ:
```
5
Lattice="5.196 0.000 0.000 0.000 5.120 0.000 0.000 0.000 5.196" Properties=species:S:1:pos:R:3 pbc="T T T"
Ca 2.598 2.560 2.598
Cr 0.000 0.000 2.598
Bi 0.000 0.000 0.000
Cr 2.598 0.000 0.000
Ir 0.000 2.560 0.000
```

Properties
**Formation energy from the elements**: 105 kJ/mol of atoms
**SG**: No. 123
**Spin magnetization**: 1.699 μB/atom
**D(E_F)**: 0.857 states/eV per atom
**E**: -28.547 eV per cell

=====

D(E_F) of number 10 (Ca2CrGeBi)? 0.716 states/eV per atom